(1)
ReHgO5: optimized geometry, PBE.

Values from the calculation:
electronic total energy = -6.180 eV per atom
formation energy without anion corrections = -817 meV per atom
space-group type = C2/c, No. 15

Unit cell a=5.5505 b=5.5505 c=7.6212 alpha=109.35 beta=109.35 gamma=75.99
Last column: nearest neighbours and their distance in Å.
Fractional coordinates of all 14 atoms:
Re: 0.0000 0.0000 0.0000  6 O 1.85-1.91
Re: 0.0000 0.0000 0.5000  6 O 1.85-1.91
Hg: 0.4945 0.5055 0.7500  4 O 2.15-2.39
Hg: 0.5055 0.4945 0.2500  4 O 2.15-2.39
O: 0.0101 0.9899 0.2500  2 Re 1.91
O: 0.1954 0.2667 0.1126  1 Re 1.85
O: 0.2476 0.6999 0.4956  1 Re 1.88
O: 0.2667 0.1954 0.6126  1 Re 1.85
O: 0.3001 0.7524 0.0044  1 Re 1.88
O: 0.6999 0.2476 0.9956  1 Re 1.88
O: 0.7333 0.8046 0.3874  1 Re 1.85
O: 0.7524 0.3001 0.5044  1 Re 1.88
O: 0.8046 0.7333 0.8874  1 Re 1.85
O: 0.9899 0.0101 0.7500  2 Re 1.91

***

(2)
ScPIr2: optimized geometry, PBE.

Values from the calculation:
electronic total energy = -7.702 eV per atom
space-group type = R3m, No. 160
ΔH_f (0 K) = -336 meV/atom

Unit cell a=3.6490 b=3.6490 c=17.9278 alpha=90.00 beta=90.00 gamma=120.00
Last column: nearest neighbours and their distance in Å.
Fractional coordinates of all 12 atoms:
Sc: 0.0000 0.0000 0.0000  3 P 2.72, 3 Ir 2.73
Sc: 0.3333 0.6667 0.6667  3 P 2.72, 3 Ir 2.73
Sc: 0.6667 0.3333 0.3333  3 P 2.72, 3 Ir 2.73
P: 0.0000 0.0000 0.2375  3 Ir 2.31
P: 0.3333 0.6667 0.9042  3 Ir 2.31
P: 0.6667 0.3333 0.5708  3 Ir 2.31
Ir: 0.0000 0.0000 0.5185  3 P 2.31
Ir: 0.0000 0.0000 0.7636  3 Ir 2.63, 3 Sc 2.73
Ir: 0.3333 0.6667 0.1852  3 P 2.31
Ir: 0.3333 0.6667 0.4303  3 Ir 2.63, 3 Sc 2.73
Ir: 0.6667 0.3333 0.0969  3 Ir 2.63, 3 Sc 2.73
Ir: 0.6667 0.3333 0.8519  3 P 2.31

***

(3)
DyPbSe: optimized geometry, PBE.

Values from the calculation:
electronic total energy = -4.858 eV per atom
formation energy without anion corrections = -927 meV per atom
space-group type = I4mm, No. 107

Unit cell a=3.7911 b=3.7911 c=11.6991 alpha=90.00 beta=90.00 gamma=90.00
Last column: nearest neighbours and their distance in Å.
Fractional coordinates of all 6 atoms:
Dy: 0.0000 0.0000 0.0000  4 Se 2.84
Dy: 0.5000 0.5000 0.5000  4 Se 2.84
Pb: 0.0000 0.0000 0.3067  1 Se 3.21, 5 Dy 3.51-3.59
Pb: 0.5000 0.5000 0.8067  1 Se 3.21, 5 Dy 3.51-3.59
Se: 0.0000 0.0000 0.5809  4 Dy 2.84
Se: 0.5000 0.5000 0.0809  4 Dy 2.84

***

(4)
La8CoIr2: optimized geometry, PBE.

Values from the calculation:
electronic total energy = -6.184 eV per atom
space-group type = C2/m, No. 12
ΔH_f (0 K) = -344 meV/atom

Unit cell a=7.7046 b=7.7046 c=6.6891 alpha=102.24 beta=102.24 gamma=70.86
Last column: nearest neighbours and their distance in Å.
Fractional coordinates of all 11 atoms:
La: 0.0853 0.0853 0.2730  1 Ir 2.83
La: 0.1580 0.5686 0.2281  1 Co 2.83, 2 Ir 2.87-3.11
La: 0.3545 0.3545 0.7196  1 Co 2.62, 1 Ir 2.87
La: 0.4314 0.8420 0.7719  1 Co 2.83, 2 Ir 2.87-3.11
La: 0.5686 0.1580 0.2281  1 Co 2.83, 2 Ir 2.87-3.11
La: 0.6455 0.6455 0.2804  1 Co 2.62, 1 Ir 2.87
La: 0.8420 0.4314 0.7719  1 Co 2.83, 2 Ir 2.87-3.11
La: 0.9147 0.9147 0.7270  1 Ir 2.83
Co: 0.5000 0.5000 0.5000  6 La 2.62-2.83
Ir: 0.1877 0.1877 0.9426  6 La 2.83-3.11
Ir: 0.8123 0.8123 0.0574  6 La 2.83-3.11

***

Please write out number 4 again, unchanged.
La8CoIr2: optimized geometry, PBE.

Values from the calculation:
electronic total energy = -6.184 eV per atom
space-group type = C2/m, No. 12
ΔH_f (0 K) = -344 meV/atom

Unit cell a=7.7046 b=7.7046 c=6.6891 alpha=102.24 beta=102.24 gamma=70.86
Last column: nearest neighbours and their distance in Å.
Fractional coordinates of all 11 atoms:
La: 0.0853 0.0853 0.2730  1 Ir 2.83
La: 0.1580 0.5686 0.2281  1 Co 2.83, 2 Ir 2.87-3.11
La: 0.3545 0.3545 0.7196  1 Co 2.62, 1 Ir 2.87
La: 0.4314 0.8420 0.7719  1 Co 2.83, 2 Ir 2.87-3.11
La: 0.5686 0.1580 0.2281  1 Co 2.83, 2 Ir 2.87-3.11
La: 0.6455 0.6455 0.2804  1 Co 2.62, 1 Ir 2.87
La: 0.8420 0.4314 0.7719  1 Co 2.83, 2 Ir 2.87-3.11
La: 0.9147 0.9147 0.7270  1 Ir 2.83
Co: 0.5000 0.5000 0.5000  6 La 2.62-2.83
Ir: 0.1877 0.1877 0.9426  6 La 2.83-3.11
Ir: 0.8123 0.8123 0.0574  6 La 2.83-3.11